# 1
DFT (PBE) results for crystalline Sr2TcIr at its relaxed geometry.

a b c (Å): 5.404 5.404 3.441
angles (deg): 90.00 90.00 108.19
Last column: magnetic moment on the atom in μB.
Sites, in units of the cell vectors:
Tc 0.500 0.000 0.500  2.02
Sr 0.000 0.000 0.000  -0.01
Sr 0.500 0.500 0.000  -0.01
Ir 0.000 0.500 0.500  0.32

Calculated values
energy above the lowest structure with this stoichiometry	0.604	eV/atom
E_form	0.76	eV/atom
SG	Cmmm
Fermi-level density of states	3.3	states/eV per cell

***

# 2
DFT (PBE) results for crystalline Tb3Sm5Tm2 at its relaxed geometry.

a b c (Å): 9.726 9.757 11.177
angles (deg): 127.56 127.50 66.56
Sites, in units of the cell vectors:
Sm 0.895 0.650 0.766
Sm 0.978 0.228 0.456
Sm 0.105 0.350 0.234
Sm 0.371 0.116 0.766
Sm 0.519 0.269 0.538
Sm 0.022 0.772 0.544
Sm 0.725 0.475 0.951
Sm 0.275 0.525 0.049
Sm 0.629 0.884 0.234
Sm 0.481 0.731 0.462
Tm 0.488 0.723 0.760
Tm 0.773 0.038 0.760
Tm 0.227 0.962 0.240
Tm 0.512 0.277 0.240
Tb 0.968 0.232 0.751
Tb 0.718 0.481 0.249
Tb 0.282 0.519 0.751
Tb 0.032 0.768 0.249
Tb 0.780 0.030 0.059
Tb 0.220 0.970 0.941

Calculated values
energy above the lowest structure with this stoichiometry	0.000	eV/atom
E_form	0.19	eV/atom
SG	C2/c
Fermi-level density of states	35.5	states/eV per cell

***

# 3
DFT (PBE) results for crystalline NaLi2AlH6 at its relaxed geometry.

a b c (Å): 4.921 4.921 5.297
angles (deg): 62.31 62.30 59.99
Sites, in units of the cell vectors:
H 0.162 0.362 0.771
H 0.362 0.705 0.771
H 0.566 0.254 0.226
H 0.954 0.566 0.226
H 0.705 0.162 0.771
H 0.255 0.954 0.226
Al 0.326 0.326 0.023
Na 0.796 0.796 0.612
Li 0.525 0.525 0.425
Li 0.012 0.012 0.963

Calculated values
SG	R3
VASP energy	-3.146	eV per atom
Fermi-level density of states	0.0	states/eV per cell

***

# 4
DFT (PBE) results for crystalline Rb2SmAlSe4 at its relaxed geometry.

a b c (Å): 8.726 8.726 8.940
angles (deg): 120.80 120.80 90.36
Sites, in units of the cell vectors:
Rb 0.000 0.000 0.500
Rb 0.500 0.500 0.000
Rb 0.500 0.000 0.500
Rb 0.500 0.000 0.000
Se 0.239 0.260 0.055
Se 0.254 0.697 0.475
Se 0.197 0.754 0.975
Se 0.803 0.246 0.025
Se 0.760 0.739 0.555
Se 0.240 0.261 0.445
Se 0.746 0.303 0.525
Se 0.761 0.740 0.945
Al 0.500 0.500 0.500
Al 0.000 0.000 0.000
Sm 0.000 0.500 0.000
Sm 0.000 0.500 0.500

Calculated values
formation energy without anion corrections	-1.2059	eV per atom
SG	Imma

***

# 5
DFT (PBE) results for crystalline Mo2PtC at its relaxed geometry.

a b c (Å): 4.904 4.904 6.632
angles (deg): 68.30 68.30 90.00
Sites, in units of the cell vectors:
C 0.500 0.500 0.000
C 0.250 0.750 0.500
Mo 0.875 0.783 0.750
Mo 0.533 0.125 0.250
Mo 0.375 0.467 0.750
Mo 0.217 0.625 0.250
Pt 0.750 0.250 0.500
Pt 0.000 0.000 0.000

Calculated values
E_form	0.62	eV/atom
SG	I-42d
Fermi-level density of states	4.2	states/eV per cell

***

# 6
DFT (PBE) results for crystalline GaRe2Tc at its relaxed geometry.

a b c (Å): 7.183 7.183 5.700
angles (deg): 50.94 50.94 90.00
Sites, in units of the cell vectors:
Re 0.375 0.348 0.750
Re 0.098 0.625 0.250
Re 0.875 0.902 0.750
Re 0.652 0.125 0.250
Tc 0.000 0.000 0.000
Tc 0.750 0.250 0.500
Ga 0.500 0.500 0.000
Ga 0.250 0.750 0.500

Calculated values
energy above the lowest structure with this stoichiometry	0.564	eV/atom
E_form	0.83	eV/atom
SG	I-42d
Fermi-level density of states	8.1	states/eV per cell